# DyCu3Ni8, optimized geometry, DFT GGA-PBE
# DFT total energy in eV per atom: -5.31
# Formation energy in eV/atom: -0.05
# Size of the total moment in μB per cell: 3.12
# N(E_F) in states/eV/atom: 0.9376
data_DyCu3Ni8
_cell_length_a 4.760
_cell_length_b 4.760
_cell_length_c 7.757
_cell_angle_alpha 90.00
_cell_angle_beta 90.00
_cell_angle_gamma 120.00
_space_group_name_H-M_alt 'P 1'
_space_group_IT_number 1
_space_group_name_Hall 'P 1'
loop_
_atom_site_label
_atom_site_fract_x
_atom_site_fract_y
_atom_site_fract_z
_atom_site_occupancy
Ni1 0.671 0.835 0.243 1
Ni2 0.165 0.835 0.243 1
Ni3 0.504 0.007 0.762 1
Ni4 0.333 0.667 0.000 1
Ni5 0.504 0.496 0.762 1
Ni6 0.993 0.496 0.762 1
Ni7 0.165 0.329 0.243 1
Ni8 0.333 0.667 0.499 1
Cu1 0.000 0.000 0.956 1
Cu2 0.667 0.333 0.403 1
Cu3 0.667 0.333 0.062 1
Dy1 0.000 0.000 0.567 1